Entry 1:
{"formula": "Sm2Zn5Pt", "functional": "GGA-PBE", "state": "relaxed", "cell": [[-2.710, 0.101, -3.236], [-4.209, -3.989, 6.154], [-3.211, 7.919, 2.936]], "species": ["Zn", "Zn", "Zn", "Zn", "Zn", "Zn", "Zn", "Zn", "Zn", "Sm", "Pt", "Sm", "Sm", "Sm", "Pt", "Zn"], "fractional_positions": [[0.650, 0.301, 0.480], [0.809, 0.618, 0.391], [0.191, 0.382, 0.891], [0.350, 0.699, 0.980], [0.191, 0.382, 0.609], [0.605, 0.209, 0.750], [0.350, 0.699, 0.520], [0.809, 0.618, 0.109], [0.395, 0.791, 0.250], [0.811, 0.621, 0.750], [0.448, 0.896, 0.750], [0.189, 0.379, 0.250], [0.000, 0.000, 0.000], [0.000, 0.000, 0.500], [0.552, 0.104, 0.250], [0.650, 0.301, 0.020]], "spacegroup": "Cmcm, No. 63", "m_tot_mub_per_fu": 0.0}

Entry 2:
{"formula": "Sm7Zn2Pt2", "functional": "GGA-PBE", "state": "relaxed", "cell": [[-1.261, 4.457, 5.015], [-6.829, 0.684, -2.326], [-1.412, -6.271, 2.298]], "species": ["Zn", "Sm", "Sm", "Pt", "Sm", "Sm", "Sm", "Pt", "Sm", "Sm", "Zn"], "fractional_positions": [[0.164, 0.500, 0.164], [0.000, 0.000, 0.000], [0.500, 0.735, 0.000], [0.290, 0.000, 0.710], [0.500, 0.259, 0.500], [0.500, 0.741, 0.500], [0.000, 0.265, 0.500], [0.710, 0.000, 0.290], [0.500, 0.265, 0.000], [0.000, 0.735, 0.500], [0.836, 0.500, 0.836]], "spacegroup": "Cmmm, No. 65", "m_tot_mub_per_fu": 0.0}

Entry 3:
{"formula": "Sm2Zn15Pt2", "functional": "GGA-PBE", "state": "relaxed", "cell": [[-3.551, -2.845, 5.097], [4.567, -4.784, 1.715], [2.953, 3.383, 5.149]], "species": ["Zn", "Zn", "Pt", "Zn", "Sm", "Pt", "Zn", "Zn", "Zn", "Zn", "Zn", "Zn", "Zn", "Zn", "Zn", "Zn", "Sm", "Zn", "Zn"], "fractional_positions": [[0.000, 0.500, 0.000], [0.649, 0.155, 0.649], [0.889, 0.889, 0.889], [0.155, 0.649, 0.649], [0.663, 0.663, 0.663], [0.111, 0.111, 0.111], [0.000, 0.715, 0.285], [0.500, 0.000, 0.000], [0.351, 0.845, 0.351], [0.351, 0.351, 0.845], [0.285, 0.715, 0.000], [0.649, 0.649, 0.155], [0.000, 0.285, 0.715], [0.715, 0.285, 0.000], [0.715, 0.000, 0.285], [0.285, 0.000, 0.715], [0.337, 0.337, 0.337], [0.845, 0.351, 0.351], [0.000, 0.000, 0.500]], "spacegroup": "R-3m, No. 166", "m_tot_mub_per_fu": 0.0}

Electronic total energy per entry: -3.243, -4.741, -2.491 eV/atom
Energy of formation from the pure elements per entry: -4.10, -4.49, -6.71 eV per formula unit